K3Ni2AgF9: optimized geometry, PBE with a Hubbard U.

Structure (POSCAR):
```
K3Ni2AgF9
1.0
5.890 0.000 0.000
-2.945 5.101 0.000
0.000 0.000 7.266
K Ni Ag F
3 2 1 9
Cartesian
0.000 0.000 0.000
0.000 3.401 4.844
2.945 1.700 2.422
0.000 3.401 1.128
2.945 1.700 6.137
0.000 0.000 3.633
-1.473 2.551 0.000
0.000 1.796 2.306
-1.390 4.203 2.306
1.555 0.898 4.959
2.945 0.000 0.000
1.473 2.551 0.000
1.390 4.203 2.306
4.335 0.898 4.959
2.945 3.305 4.959
```

Properties
Total magnetization, μB/cell: 3.00
VASP energy, eV per atom: -4.126
D(E_F), states/eV/f.u.: 2.6
Space group: P-3m1 (164)